[1]
A plane-wave DFT calculation with PBE was carried out for crystalline AcAlGa at its relaxed geometry.

uncorrected energy	-0.2690	Ry/atom
space-group type	I4/mmm, No. 139
theoretical density	6.06	g/cm³
energy of formation from the pure elements	-0.0333	eV/atom
polymorph energy (0 for the lowest one)	1.53	eV per formula unit

Cell and atoms, written as CIF:
```
data_AcAlGa
_cell_length_a 9.3891
_cell_length_b 9.3891
_cell_length_c 9.3891
_cell_angle_alpha 152.38
_cell_angle_beta 152.38
_cell_angle_gamma 39.45
_space_group_name_H-M_alt 'P 1'
_space_group_IT_number 1
_space_group_name_Hall 'P 1'
loop_
_atom_site_label
_atom_site_type_symbol
_atom_site_fract_x
_atom_site_fract_y
_atom_site_fract_z
Ac1 Ac 0.1119 0.1119 0.0000
Ac2 Ac 0.8881 0.8881 0.0000
Al1 Al 0.2889 0.2889 0.0000
Al2 Al 0.7111 0.7111 0.0000
Ga1 Ga 0.4322 0.4322 0.0000
Ga2 Ga 0.5678 0.5678 0.0000
```

---

[2]
A plane-wave DFT calculation with PBE was carried out for crystalline NbNiN3 at its relaxed geometry.

uncorrected energy	-0.5372	Ry/atom
raw formation energy	0.856	eV per atom
space-group type	Pm-3m, No. 221
theoretical density	6.83	g/cm³

Cell and atoms, written as CIF:
```
data_NbNiN3
_cell_length_a 3.6116
_cell_length_b 3.6116
_cell_length_c 3.6116
_cell_angle_alpha 90.00
_cell_angle_beta 90.00
_cell_angle_gamma 90.00
_space_group_name_H-M_alt 'P 1'
_space_group_IT_number 1
_space_group_name_Hall 'P 1'
loop_
_atom_site_label
_atom_site_type_symbol
_atom_site_fract_x
_atom_site_fract_y
_atom_site_fract_z
Nb1 Nb 0.0000 0.0000 0.0000
Ni1 Ni 0.5000 0.5000 0.5000
N1 N 0.0000 0.5000 0.5000
N2 N 0.5000 0.0000 0.5000
N3 N 0.5000 0.5000 0.0000
```

---

[3]
A plane-wave DFT calculation with PBE was carried out for crystalline InCu2As at its relaxed geometry.

uncorrected energy	-0.2792	Ry/atom
space-group type	Pm, No. 6
theoretical density	7.71	g/cm³
energy of formation from the pure elements	0.0961	eV/atom

Cell and atoms, written as CIF:
```
data_InCu2As
_cell_length_a 3.6554
_cell_length_b 3.9312
_cell_length_c 5.0898
_cell_angle_alpha 90.00
_cell_angle_beta 111.01
_cell_angle_gamma 90.00
_space_group_name_H-M_alt 'P 1'
_space_group_IT_number 1
_space_group_name_Hall 'P 1'
loop_
_atom_site_label
_atom_site_type_symbol
_atom_site_fract_x
_atom_site_fract_y
_atom_site_fract_z
In1 In 0.0000 0.0000 0.0000
Cu1 Cu 0.2781 0.0000 0.5471
Cu2 Cu 0.4346 0.5000 0.8674
As1 As 0.7267 0.5000 0.4447
```

---

[4]
A plane-wave DFT calculation with PBE was carried out for crystalline Tb6Sm2Tm at its relaxed geometry.

uncorrected energy	-0.3261	Ry/atom
space-group type	C2/m, No. 12
theoretical density	7.89	g/cm³
energy of formation from the pure elements	0.1956	eV/atom
polymorph energy (0 for the lowest one)	0.76	eV per formula unit

Cell and atoms, written as CIF:
```
data_Tb6Sm2Tm
_cell_length_a 10.1364
_cell_length_b 10.1364
_cell_length_c 3.4599
_cell_angle_alpha 99.57
_cell_angle_beta 99.57
_cell_angle_gamma 59.14
_space_group_name_H-M_alt 'P 1'
_space_group_IT_number 1
_space_group_name_Hall 'P 1'
loop_
_atom_site_label
_atom_site_type_symbol
_atom_site_fract_x
_atom_site_fract_y
_atom_site_fract_z
Tb1 Tb 0.1456 0.5226 0.3344
Tb2 Tb 0.1925 0.8075 0.0000
Tb3 Tb 0.4774 0.8544 0.6656
Tb4 Tb 0.5226 0.1456 0.3344
Tb5 Tb 0.8075 0.1925 0.0000
Tb6 Tb 0.8544 0.4774 0.6656
Sm1 Sm 0.1671 0.1671 0.1662
Sm2 Sm 0.8329 0.8329 0.8338
Tm1 Tm 0.5000 0.5000 0.5000
```

---

[5]
A plane-wave DFT calculation with PBE was carried out for crystalline ScMnOs2 at its relaxed geometry.

uncorrected energy	-0.6947	Ry/atom
space-group type	C2/m, No. 12
theoretical density	13.24	g/cm³
energy of formation from the pure elements	0.0382	eV/atom

Cell and atoms, written as CIF:
```
data_ScMnOs2
_cell_length_a 5.1320
_cell_length_b 5.1320
_cell_length_c 4.5852
_cell_angle_alpha 110.78
_cell_angle_beta 110.78
_cell_angle_gamma 32.46
_space_group_name_H-M_alt 'P 1'
_space_group_IT_number 1
_space_group_name_Hall 'P 1'
loop_
_atom_site_label
_atom_site_type_symbol
_atom_site_fract_x
_atom_site_fract_y
_atom_site_fract_z
Sc1 Sc 0.0000 0.0000 0.0000
Mn1 Mn 0.5000 0.5000 0.5000
Os1 Os 0.2238 0.2238 0.7182
Os2 Os 0.7762 0.7762 0.2818
```

---

[6]
A plane-wave DFT calculation with PBE was carried out for crystalline Ca2H6Os at its relaxed geometry.

uncorrected energy	-0.3133	Ry/atom
space-group type	P4_2/mnm, No. 136
theoretical density	4.45	g/cm³

Cell and atoms, written as CIF:
```
data_Ca2H6Os
_cell_length_a 4.6994
_cell_length_b 4.6994
_cell_length_c 9.3456
_cell_angle_alpha 90.00
_cell_angle_beta 90.00
_cell_angle_gamma 90.00
_space_group_name_H-M_alt 'P 1'
_space_group_IT_number 1
_space_group_name_Hall 'P 1'
loop_
_atom_site_label
_atom_site_type_symbol
_atom_site_fract_x
_atom_site_fract_y
_atom_site_fract_z
Ca1 Ca 0.0000 0.0000 0.1657
Ca2 Ca 0.0000 0.0000 0.8343
Ca3 Ca 0.5000 0.5000 0.3343
Ca4 Ca 0.5000 0.5000 0.6657
H1 H 0.1778 0.1778 0.3675
H2 H 0.1778 0.1778 0.6325
H3 H 0.2429 0.2429 0.0000
H4 H 0.2571 0.7429 0.5000
H5 H 0.3222 0.6778 0.1325
H6 H 0.3222 0.6778 0.8675
H7 H 0.6778 0.3222 0.1325
H8 H 0.6778 0.3222 0.8675
H9 H 0.7429 0.2571 0.5000
H10 H 0.7571 0.7571 0.0000
H11 H 0.8222 0.8222 0.3675
H12 H 0.8222 0.8222 0.6325
Os1 Os 0.0000 0.0000 0.5000
Os2 Os 0.5000 0.5000 0.0000
```

---

[7]
A plane-wave DFT calculation with PBE was carried out for crystalline CeCd6Au2 at its relaxed geometry.

uncorrected energy	-0.1544	Ry/atom
space-group type	C2/m, No. 12
theoretical density	9.95	g/cm³
energy of formation from the pure elements	-0.1026	eV/atom
polymorph energy (0 for the lowest one)	1.17	eV per formula unit

Cell and atoms, written as CIF:
```
data_CeCd6Au2
_cell_length_a 8.7576
_cell_length_b 8.7576
_cell_length_c 3.0677
_cell_angle_alpha 99.56
_cell_angle_beta 99.56
_cell_angle_gamma 60.85
_space_group_name_H-M_alt 'P 1'
_space_group_IT_number 1
_space_group_name_Hall 'P 1'
loop_
_atom_site_label
_atom_site_type_symbol
_atom_site_fract_x
_atom_site_fract_y
_atom_site_fract_z
Ce1 Ce 0.0000 0.0000 0.0000
Cd1 Cd 0.0046 0.3482 0.6765
Cd2 Cd 0.3337 0.6663 0.5000
Cd3 Cd 0.3482 0.0046 0.6765
Cd4 Cd 0.6518 0.9954 0.3235
Cd5 Cd 0.6663 0.3337 0.5000
Cd6 Cd 0.9954 0.6518 0.3235
Au1 Au 0.3541 0.3541 0.8593
Au2 Au 0.6459 0.6459 0.1407
```

---

[8]
A plane-wave DFT calculation with PBE was carried out for crystalline Pm2InBi at its relaxed geometry.

uncorrected energy	-0.3361	Ry/atom
space-group type	R-3m, No. 166
theoretical density	8.21	g/cm³
energy of formation from the pure elements	-0.5433	eV/atom
polymorph energy (0 for the lowest one)	0.54	eV per formula unit

Cell and atoms, written as CIF:
```
data_Pm2InBi
_cell_length_a 6.1445
_cell_length_b 6.1445
_cell_length_c 6.1445
_cell_angle_alpha 49.70
_cell_angle_beta 49.70
_cell_angle_gamma 49.70
_space_group_name_H-M_alt 'P 1'
_space_group_IT_number 1
_space_group_name_Hall 'P 1'
loop_
_atom_site_label
_atom_site_type_symbol
_atom_site_fract_x
_atom_site_fract_y
_atom_site_fract_z
Pm1 Pm 0.2485 0.2485 0.2485
Pm2 Pm 0.7515 0.7515 0.7515
In1 In 0.5000 0.5000 0.5000
Bi1 Bi 0.0000 0.0000 0.0000
```

---

[9]
A plane-wave DFT calculation with PBE was carried out for crystalline KCaSi2 at its relaxed geometry.

uncorrected energy	-0.2603	Ry/atom
raw formation energy	-0.056	eV per atom
space-group type	Pmmm, No. 47
theoretical density	2.02	g/cm³
polymorph energy (0 for the lowest one)	0.45	eV per formula unit

Cell and atoms, written as CIF:
```
data_KCaSi2
_cell_length_a 3.4284
_cell_length_b 4.4364
_cell_length_c 7.3138
_cell_angle_alpha 90.00
_cell_angle_beta 90.00
_cell_angle_gamma 90.00
_space_group_name_H-M_alt 'P 1'
_space_group_IT_number 1
_space_group_name_Hall 'P 1'
loop_
_atom_site_label
_atom_site_type_symbol
_atom_site_fract_x
_atom_site_fract_y
_atom_site_fract_z
K1 K 0.0000 0.0000 0.0000
Ca1 Ca 0.0000 0.0000 0.5000
Si1 Si 0.5000 0.5000 0.3368
Si2 Si 0.5000 0.5000 0.6632
```

---

[10]
A plane-wave DFT calculation with PBE was carried out for crystalline Er2AgBi4 at its relaxed geometry.

uncorrected energy	-0.3184	Ry/atom
space-group type	P-4m2, No. 115
theoretical density	10.48	g/cm³
energy of formation from the pure elements	-0.4029	eV/atom

Cell and atoms, written as CIF:
```
data_Er2AgBi4
_cell_length_a 4.5763
_cell_length_b 4.5763
_cell_length_c 9.6709
_cell_angle_alpha 90.00
_cell_angle_beta 90.00
_cell_angle_gamma 90.00
_space_group_name_H-M_alt 'P 1'
_space_group_IT_number 1
_space_group_name_Hall 'P 1'
loop_
_atom_site_label
_atom_site_type_symbol
_atom_site_fract_x
_atom_site_fract_y
_atom_site_fract_z
Er1 Er 0.0000 0.5000 0.2382
Er2 Er 0.5000 0.0000 0.7618
Ag1 Ag 0.5000 0.5000 0.0000
Bi1 Bi 0.0000 0.0000 0.5000
Bi2 Bi 0.0000 0.5000 0.8263
Bi3 Bi 0.5000 0.0000 0.1737
Bi4 Bi 0.5000 0.5000 0.5000
```

---

[11]
A plane-wave DFT calculation with PBE was carried out for crystalline Nb3PtS at its relaxed geometry.

uncorrected energy	-0.5895	Ry/atom
raw formation energy	0.054	eV per atom
space-group type	Pm-3m, No. 221
theoretical density	9.03	g/cm³
polymorph energy (0 for the lowest one)	0.00	eV per formula unit

Cell and atoms, written as CIF:
```
data_Nb3PtS
_cell_length_a 4.5313
_cell_length_b 4.5313
_cell_length_c 4.5313
_cell_angle_alpha 90.00
_cell_angle_beta 90.00
_cell_angle_gamma 90.00
_space_group_name_H-M_alt 'P 1'
_space_group_IT_number 1
_space_group_name_Hall 'P 1'
loop_
_atom_site_label
_atom_site_type_symbol
_atom_site_fract_x
_atom_site_fract_y
_atom_site_fract_z
Nb1 Nb 0.0000 0.0000 0.5000
Nb2 Nb 0.0000 0.5000 0.0000
Nb3 Nb 0.5000 0.0000 0.0000
Pt1 Pt 0.5000 0.5000 0.5000
S1 S 0.0000 0.0000 0.0000
```